(1)
# Rb2TlSn2Te4 | the Alexandria database | PBE | relaxed
# Spin magnetization (μB per atom): 0.00
# Uncorrected energy (eV/atom): -3.28
data_Rb2TlSn2Te4
_chemical_formula_sum 'Rb4 Tl2 Sn4 Te8'
_symmetry_space_group_name_H-M 'C 1 2/m 1'
_symmetry_Int_Tables_number 12
_cell_length_a 16.374
_cell_length_b 5.782
_cell_length_c 7.772
_cell_angle_alpha 90.00
_cell_angle_beta 101.45
_cell_angle_gamma 90.00
loop_
_symmetry_equiv_pos_as_xyz
'x,y,z'
'-x,-y,-z'
'-x,y,-z'
'x,-y,z'
'x+1/2,y+1/2,z'
'-x+1/2,-y+1/2,-z'
'-x+1/2,y+1/2,-z'
'x+1/2,-y+1/2,z'
loop_
_atom_site_label
_atom_site_fract_x
_atom_site_fract_y
_atom_site_fract_z
Rb1 0.137 0.000 0.093
Tl1 0.000 0.000 0.500
Sn1 0.152 0.500 0.554
Te1 0.020 0.500 0.239
Te2 0.208 0.000 0.667

(2)
# Rb2TlSnTe4 | the Alexandria database | PBE | relaxed
# Spin magnetization (μB per atom): 0.00
# Uncorrected energy (eV/atom): -3.09
data_Rb2TlSnTe4
_chemical_formula_sum 'Rb16 Tl8 Sn8 Te32'
_symmetry_space_group_name_H-M 'F d d d'
_symmetry_Int_Tables_number 70
_cell_length_a 7.160
_cell_length_b 15.774
_cell_length_c 25.308
_cell_angle_alpha 90.00
_cell_angle_beta 90.00
_cell_angle_gamma 90.00
loop_
_symmetry_equiv_pos_as_xyz
'x,y,z'
'-x,-y,-z'
'-x+1/4,-y+1/4,z'
'x+1/4,y+1/4,-z'
'x,-y+1/4,-z+1/4'
'-x,y+1/4,z+1/4'
'-x+1/4,y,-z+1/4'
'x+1/4,-y,z+1/4'
'x,y+1/2,z+1/2'
'-x,-y+1/2,-z+1/2'
'-x+1/4,-y+3/4,z+1/2'
'x+1/4,y+3/4,-z+1/2'
'x,-y+3/4,-z+3/4'
'-x,y+3/4,z+3/4'
'-x+1/4,y+1/2,-z+3/4'
'x+1/4,-y+1/2,z+3/4'
'x+1/2,y,z+1/2'
'-x+1/2,-y,-z+1/2'
'-x+3/4,-y+1/4,z+1/2'
'x+3/4,y+1/4,-z+1/2'
'x+1/2,-y+1/4,-z+3/4'
'-x+1/2,y+1/4,z+3/4'
'-x+3/4,y,-z+3/4'
'x+3/4,-y,z+3/4'
'x+1/2,y+1/2,z'
'-x+1/2,-y+1/2,-z'
'-x+3/4,-y+3/4,z'
'x+3/4,y+3/4,-z'
'x+1/2,-y+3/4,-z+1/4'
'-x+1/2,y+3/4,z+1/4'
'-x+3/4,y+1/2,-z+1/4'
'x+3/4,-y+1/2,z+1/4'
loop_
_atom_site_label
_atom_site_fract_x
_atom_site_fract_y
_atom_site_fract_z
Rb1 0.125 0.125 0.310
Tl1 0.125 0.125 0.125
Sn1 0.125 0.125 0.625
Te1 0.123 0.268 0.811

(3)
# RbTmSnTe3 | the Alexandria database | PBE | relaxed
# Spin magnetization (μB per atom): 0.00
# Uncorrected energy (eV/atom): -4.13
data_RbTmSnTe3
_chemical_formula_sum 'Rb2 Tm2 Sn2 Te6'
_symmetry_space_group_name_H-M 'P 1 21/m 1'
_symmetry_Int_Tables_number 11
_cell_length_a 9.565
_cell_length_b 4.420
_cell_length_c 11.907
_cell_angle_alpha 90.00
_cell_angle_beta 109.68
_cell_angle_gamma 90.00
loop_
_symmetry_equiv_pos_as_xyz
'x,y,z'
'-x,-y,-z'
'-x,y+1/2,-z'
'x,-y+1/2,z'
loop_
_atom_site_label
_atom_site_fract_x
_atom_site_fract_y
_atom_site_fract_z
Rb1 0.220 0.250 0.265
Tm1 0.368 0.750 0.846
Sn1 0.130 0.250 0.557
Te1 0.126 0.250 0.797
Te2 0.349 0.750 0.579
Te3 0.399 0.750 0.107

(4)
# Rb3Tm2SnTe6 | the Alexandria database | PBE | relaxed
# Spin magnetization (μB per atom): 0.00
# Uncorrected energy (eV/atom): -3.96
data_Rb3Tm2SnTe6
_chemical_formula_sum 'Rb6 Tm4 Sn2 Te12'
_symmetry_space_group_name_H-M 'C 1 2/m 1'
_symmetry_Int_Tables_number 12
_cell_length_a 7.819
_cell_length_b 13.547
_cell_length_c 8.928
_cell_angle_alpha 90.00
_cell_angle_beta 106.98
_cell_angle_gamma 90.00
loop_
_symmetry_equiv_pos_as_xyz
'x,y,z'
'-x,-y,-z'
'-x,y,-z'
'x,-y,z'
'x+1/2,y+1/2,z'
'-x+1/2,-y+1/2,-z'
'-x+1/2,y+1/2,-z'
'x+1/2,-y+1/2,z'
loop_
_atom_site_label
_atom_site_fract_x
_atom_site_fract_y
_atom_site_fract_z
Rb1 0.000 0.000 0.000
Rb2 0.000 0.335 0.000
Tm1 0.000 0.167 0.500
Sn1 0.000 0.500 0.500
Te1 0.228 0.000 0.695
Te2 0.234 0.331 0.696

(5)
# RbUSnTe3 | the Alexandria database | PBE | relaxed
# Spin magnetization (μB per atom): 0.31
# Uncorrected energy (eV/atom): -4.89
data_RbUSnTe3
_chemical_formula_sum 'Rb2 U2 Sn2 Te6'
_symmetry_space_group_name_H-M 'P 1 21/m 1'
_symmetry_Int_Tables_number 11
_cell_length_a 10.069
_cell_length_b 4.338
_cell_length_c 10.225
_cell_angle_alpha 90.00
_cell_angle_beta 112.46
_cell_angle_gamma 90.00
loop_
_symmetry_equiv_pos_as_xyz
'x,y,z'
'-x,-y,-z'
'-x,y+1/2,-z'
'x,-y+1/2,z'
loop_
_atom_site_label
_atom_site_fract_x
_atom_site_fract_y
_atom_site_fract_z
Rb1 0.020 0.250 0.289
U1 0.492 0.750 0.711
Sn1 0.388 0.750 0.006
Te1 0.200 0.250 0.029
Te2 0.269 0.250 0.672
Te3 0.340 0.750 0.378

(6)
# Rb2U2SnTe6 | the Alexandria database | PBE | relaxed
# Spin magnetization (μB per atom): 0.36
# Uncorrected energy (eV/atom): -5.05
data_Rb2U2SnTe6
_chemical_formula_sum 'Rb4 U4 Sn2 Te12'
_symmetry_space_group_name_H-M 'C 1 2/m 1'
_symmetry_Int_Tables_number 12
_cell_length_a 7.831
_cell_length_b 13.640
_cell_length_c 9.008
_cell_angle_alpha 90.00
_cell_angle_beta 106.16
_cell_angle_gamma 90.00
loop_
_symmetry_equiv_pos_as_xyz
'x,y,z'
'-x,-y,-z'
'-x,y,-z'
'x,-y,z'
'x+1/2,y+1/2,z'
'-x+1/2,-y+1/2,-z'
'-x+1/2,y+1/2,-z'
'x+1/2,-y+1/2,z'
loop_
_atom_site_label
_atom_site_fract_x
_atom_site_fract_y
_atom_site_fract_z
Rb1 0.000 0.162 0.000
U1 0.000 0.333 0.500
Sn1 0.000 0.000 0.500
Te1 0.213 0.500 0.697
Te2 0.236 0.173 0.695

(7)
# Rb3U3SnTe8 | the Alexandria database | PBE | relaxed
# Spin magnetization (μB per atom): 0.47
# Uncorrected energy (eV/atom): -5.17
data_Rb3U3SnTe8
_chemical_formula_sum 'Rb9 U9 Sn3 Te24'
_symmetry_space_group_name_H-M 'R -3 m'
_symmetry_Int_Tables_number 166
_symmetry_space_group_name_Hall '-R 3 2"'
_cell_length_a 9.1015
_cell_length_b 9.1015
_cell_length_c 25.6912
_cell_angle_alpha 90.00
_cell_angle_beta 90.00
_cell_angle_gamma 120.00
loop_
_atom_site_label
_atom_site_fract_x
_atom_site_fract_y
_atom_site_fract_z
Rb1 0.0000 0.5000 0.0000
U1 0.0000 0.5000 0.5000
Sn1 0.0000 0.0000 0.5000
Te1 0.0000 0.0000 0.2334
Te2 0.0132 0.5066 0.7676

(8)
# RbVSnTe3 | the Alexandria database | PBE | relaxed
# Spin magnetization (μB per atom): 0.16
# Uncorrected energy (eV/atom): -4.33
data_RbVSnTe3
_chemical_formula_sum 'Rb2 V2 Sn2 Te6'
_symmetry_space_group_name_H-M 'P 1 21/m 1'
_symmetry_Int_Tables_number 11
_cell_length_a 10.318
_cell_length_b 4.400
_cell_length_c 10.591
_cell_angle_alpha 90.00
_cell_angle_beta 104.38
_cell_angle_gamma 90.00
loop_
_symmetry_equiv_pos_as_xyz
'x,y,z'
'-x,-y,-z'
'-x,y+1/2,-z'
'x,-y+1/2,z'
loop_
_atom_site_label
_atom_site_fract_x
_atom_site_fract_y
_atom_site_fract_z
Rb1 0.212 0.250 0.182
V1 0.418 0.750 0.934
Sn1 0.133 0.250 0.638
Te1 0.165 0.750 0.883
Te2 0.167 0.750 0.448
Te3 0.472 0.250 0.813

(9)
# Rb3Y2SnTe6 | the Alexandria database | PBE | relaxed
# Spin magnetization (μB per atom): 0.00
# Uncorrected energy (eV/atom): -4.32
data_Rb3Y2SnTe6
_chemical_formula_sum 'Rb6 Y4 Sn2 Te12'
_symmetry_space_group_name_H-M 'C 1 2/m 1'
_symmetry_Int_Tables_number 12
_cell_length_a 7.877
_cell_length_b 13.645
_cell_length_c 8.936
_cell_angle_alpha 90.00
_cell_angle_beta 107.10
_cell_angle_gamma 90.00
loop_
_symmetry_equiv_pos_as_xyz
'x,y,z'
'-x,-y,-z'
'-x,y,-z'
'x,-y,z'
'x+1/2,y+1/2,z'
'-x+1/2,-y+1/2,-z'
'-x+1/2,y+1/2,-z'
'x+1/2,-y+1/2,z'
loop_
_atom_site_label
_atom_site_fract_x
_atom_site_fract_y
_atom_site_fract_z
Rb1 0.000 0.000 0.000
Rb2 0.000 0.334 0.000
Y1 0.000 0.167 0.500
Sn1 0.000 0.500 0.500
Te1 0.232 0.000 0.698
Te2 0.233 0.333 0.697

(10)
# RbYSn2Te | the Alexandria database | PBE | relaxed
# Spin magnetization (μB per atom): 0.00
# Uncorrected energy (eV/atom): -3.24
data_RbYSn2Te
_chemical_formula_sum 'Rb1 Y1 Sn2 Te1'
_symmetry_space_group_name_H-M 'P 4/m m m'
_symmetry_Int_Tables_number 123
_symmetry_space_group_name_Hall '-P 4 2'
_cell_length_a 5.910
_cell_length_b 5.910
_cell_length_c 6.104
_cell_angle_alpha 90.00
_cell_angle_beta 90.00
_cell_angle_gamma 90.00
loop_
_atom_site_label
_atom_site_fract_x
_atom_site_fract_y
_atom_site_fract_z
Rb1 0.000 0.000 0.000
Y1 0.500 0.500 0.000
Sn1 0.000 0.500 0.500
Te1 0.000 0.000 0.500

(11)
# RbY2Sn3Te6 | the Alexandria database | PBE | relaxed
# Spin magnetization (μB per atom): 0.00
# Uncorrected energy (eV/atom): -4.46
data_RbY2Sn3Te6
_chemical_formula_sum 'Rb2 Y4 Sn6 Te12'
_symmetry_space_group_name_H-M 'C 1 2/m 1'
_symmetry_Int_Tables_number 12
_cell_length_a 19.679
_cell_length_b 4.416
_cell_length_c 9.819
_cell_angle_alpha 90.00
_cell_angle_beta 99.05
_cell_angle_gamma 90.00
loop_
_symmetry_equiv_pos_as_xyz
'x,y,z'
'-x,-y,-z'
'-x,y,-z'
'x,-y,z'
'x+1/2,y+1/2,z'
'-x+1/2,-y+1/2,-z'
'-x+1/2,y+1/2,-z'
'x+1/2,-y+1/2,z'
loop_
_atom_site_label
_atom_site_fract_x
_atom_site_fract_y
_atom_site_fract_z
Rb1 0.000 0.000 0.000
Y1 0.173 0.500 0.337
Sn1 0.000 0.000 0.500
Sn2 0.162 0.500 0.826
Te1 0.019 0.500 0.283
Te2 0.165 0.000 0.566
Te3 0.186 0.000 0.117

(12)
# Rb2Zn2SnTe4 | the Alexandria database | PBE | relaxed
# Spin magnetization (μB per atom): 0.00
# Uncorrected energy (eV/atom): -2.98
data_Rb2Zn2SnTe4
_chemical_formula_sum 'Rb4 Zn4 Sn2 Te8'
_symmetry_space_group_name_H-M 'C 1 2/m 1'
_symmetry_Int_Tables_number 12
_cell_length_a 17.041
_cell_length_b 4.533
_cell_length_c 8.738
_cell_angle_alpha 90.00
_cell_angle_beta 109.64
_cell_angle_gamma 90.00
loop_
_symmetry_equiv_pos_as_xyz
'x,y,z'
'-x,-y,-z'
'-x,y,-z'
'x,-y,z'
'x+1/2,y+1/2,z'
'-x+1/2,-y+1/2,-z'
'-x+1/2,y+1/2,-z'
'x+1/2,-y+1/2,z'
loop_
_atom_site_label
_atom_site_fract_x
_atom_site_fract_y
_atom_site_fract_z
Rb1 0.129 0.000 0.049
Zn1 0.171 0.500 0.474
Sn1 0.000 0.000 0.500
Te1 0.021 0.500 0.256
Te2 0.203 0.000 0.666

Let's list formation energy without anion corrections in order: -4.65; -3.89; -5.94; -12.88; -3.67; -8.22; -11.62; -2.49; -13.20; 2.37; -8.80; -5.73 eV/f.u..